BeTl2Pt: optimized geometry, PBE.

Unit cell a=5.0385 b=5.0385 c=5.0385 alpha=127.17 beta=127.17 gamma=77.97
Closest atoms and distances in Å follow each position.
Fractional coordinates of all 4 atoms:
Pt  0.7500  0.2500  0.5000  8 Tl 2.98, 4 Be 3.17
Be  0.2500  0.7500  0.5000  8 Tl 2.98, 4 Pt 3.17
Tl  0.0000  0.0000  0.0000  4 Pt 2.98, 4 Be 2.98, 4 Tl 3.17
Tl  0.5000  0.5000  0.0000  4 Be 2.98, 4 Pt 2.98, 4 Tl 3.17

Properties
ΔH_f (0 K) = 476 meV/atom
SG = I4/mmm
calculated volume = 19.7 Å³/atom
distance to the lowest polymorph of the same formula = 566 meV per atom
N(E_F) = 0.400 states/eV per atom